(1)
Below is crystalline TcPIr2 at its relaxed geometry, with properties calculated at the PBE level.

```
4
Lattice="2.797 0.000 0.000 0.000 3.785 0.000 0.000 0.000 5.362" Properties=species:S:1:pos:R:3 pbc="T T T"
Tc 0.000 0.000 0.000
P 0.000 0.000 2.681
Ir 1.398 1.893 1.336
Ir 1.398 1.893 4.026
```

Calculated values
Total moment, μB/f.u.: 0.0
Fermi-level density of states, states/eV/cell: 3.62
Energy of formation from the pure elements, kJ/mol of atoms: 7.3
Space-group type: Pmmm, No. 47

(2)
Below is crystalline Tc2PIr at its relaxed geometry, with properties calculated at the PBE level.

```
4
Lattice="2.510 -3.998 0.000 2.510 3.998 0.000 0.000 0.000 2.816" Properties=species:S:1:pos:R:3 pbc="T T T"
Tc 1.255 1.999 0.000
Tc 1.255 -1.999 0.000
P 0.000 0.000 1.408
Ir 2.510 0.000 1.408
```

Calculated values
Total moment, μB/f.u.: 0.0
Fermi-level density of states, states/eV/cell: 4.67
Energy of formation from the pure elements, kJ/mol of atoms: 10.7
Space-group type: Cmmm, No. 65

(3)
Below is crystalline TcPIr2 at its relaxed geometry, with properties calculated at the PBE level.

```
4
Lattice="2.861 0.000 0.000 0.000 2.861 0.000 0.000 0.000 6.740" Properties=species:S:1:pos:R:3 pbc="T T T"
Tc 0.000 0.000 0.000
P 1.431 1.431 5.317
Ir 0.000 0.000 3.884
Ir 1.431 1.431 1.816
```

Calculated values
Total moment, μB/f.u.: 0.0
Fermi-level density of states, states/eV/cell: 2.94
Energy of formation from the pure elements, kJ/mol of atoms: -13.0
Space-group type: P4mm, No. 99

(4)
Below is crystalline TcP2Ir at its relaxed geometry, with properties calculated at the PBE level.

```
4
Lattice="3.644 0.000 0.000 0.000 4.453 0.000 -1.796 0.000 3.887" Properties=species:S:1:pos:R:3 pbc="T T T"
Tc 0.000 0.000 0.000
P 0.002 2.227 0.970
P 0.026 0.000 2.440
Ir 0.028 2.227 3.424
```

Calculated values
Total moment, μB/f.u.: 0.0
Fermi-level density of states, states/eV/cell: 1.55
E above lowest polymorph, meV/atom: 0
Energy of formation from the pure elements, kJ/mol of atoms: -43.3
Space-group type: Pm, No. 6

(5)
Below is crystalline TcP2Ir at its relaxed geometry, with properties calculated at the PBE level.

```
8
Lattice="-2.643 2.643 5.222 2.643 -2.643 5.222 2.643 2.643 -5.222" Properties=species:S:1:pos:R:3 pbc="T T T"
Tc 0.000 0.000 0.000
Tc 0.000 2.643 2.611
P 1.322 -1.313 3.916
P 1.331 1.322 1.305
P 1.322 3.956 -1.305
P 1.313 1.322 6.527
Ir 2.643 0.000 2.611
Ir 0.000 0.000 5.222
```

Calculated values
Total moment, μB/f.u.: 0.0
Fermi-level density of states, states/eV/cell: 4.51
E above lowest polymorph, meV/atom: 211
Energy of formation from the pure elements, kJ/mol of atoms: -22.9
Space-group type: I-42d, No. 122

(6)
Below is crystalline Tc2PIr at its relaxed geometry, with properties calculated at the PBE level.

```
4
Lattice="3.888 0.000 0.000 0.000 1.413 5.092 0.000 -1.413 5.092" Properties=species:S:1:pos:R:3 pbc="T T T"
Tc 0.000 0.000 0.000
Tc 1.944 0.000 3.776
P 0.000 0.000 7.864
Ir 1.944 0.000 6.472
```

Calculated values
Total moment, μB/f.u.: 0.0
Fermi-level density of states, states/eV/cell: 2.60
Energy of formation from the pure elements, kJ/mol of atoms: -22.2
Space-group type: Amm2, No. 38

(7)
Below is crystalline Tc2PIr at its relaxed geometry, with properties calculated at the PBE level.

```
4
Lattice="2.864 0.000 0.000 0.000 2.864 0.000 0.000 0.000 6.628" Properties=species:S:1:pos:R:3 pbc="T T T"
Tc 0.000 0.000 1.421
Tc 0.000 0.000 5.207
P 1.432 1.432 0.000
Ir 1.432 1.432 3.314
```

Calculated values
Total moment, μB/f.u.: 0.0
Fermi-level density of states, states/eV/cell: 3.22
Energy of formation from the pure elements, kJ/mol of atoms: -28.9
Space-group type: P4/mmm, No. 123

(8)
Below is crystalline Tc2PIr at its relaxed geometry, with properties calculated at the PBE level.

```
4
Lattice="2.825 0.000 0.000 0.000 3.820 0.000 0.000 0.000 5.338" Properties=species:S:1:pos:R:3 pbc="T T T"
Tc 0.000 0.000 0.000
Tc 1.412 1.910 1.823
P 1.412 1.910 4.506
Ir 0.000 0.000 2.794
```

Calculated values
Total moment, μB/f.u.: 0.0
Fermi-level density of states, states/eV/cell: 2.49
Energy of formation from the pure elements, kJ/mol of atoms: 2.0
Space-group type: Pmm2, No. 25

(9)
Below is crystalline Tc2PIr at its relaxed geometry, with properties calculated at the PBE level.

```
4
Lattice="3.648 0.000 0.000 0.000 3.648 0.000 0.000 0.000 4.253" Properties=species:S:1:pos:R:3 pbc="T T T"
Tc 0.000 1.824 0.000
Tc 1.824 0.000 0.000
P 0.000 0.000 2.127
Ir 1.824 1.824 2.127
```

Calculated values
Total moment, μB/f.u.: 0.0
Fermi-level density of states, states/eV/cell: 5.99
Energy of formation from the pure elements, kJ/mol of atoms: 21.8
Space-group type: P4/mmm, No. 123

(10)
Below is crystalline Tc2PIr at its relaxed geometry, with properties calculated at the PBE level.

```
4
Lattice="1.398 0.807 8.207 -1.398 0.807 8.207 0.000 -1.614 8.207" Properties=species:S:1:pos:R:3 pbc="T T T"
Tc 0.000 0.000 5.989
Tc 0.000 0.000 18.633
P 0.000 0.000 12.311
Ir 0.000 0.000 0.000
```

Calculated values
Total moment, μB/f.u.: 0.0
Fermi-level density of states, states/eV/cell: 2.70
Energy of formation from the pure elements, kJ/mol of atoms: -14.3
Space-group type: R-3m, No. 166

(11)
Below is crystalline Tc2PIr at its relaxed geometry, with properties calculated at the PBE level.

```
4
Lattice="2.794 0.000 0.000 0.000 3.731 0.000 0.000 0.000 5.365" Properties=species:S:1:pos:R:3 pbc="T T T"
Tc 0.000 0.000 1.277
Tc 0.000 0.000 4.088
P 1.397 1.866 0.000
Ir 1.397 1.866 2.683
```

Calculated values
Total moment, μB/f.u.: 0.0
Fermi-level density of states, states/eV/cell: 5.74
Energy of formation from the pure elements, kJ/mol of atoms: 11.1
Space-group type: Pmmm, No. 47

(12)
Below is crystalline TcP2Ir at its relaxed geometry, with properties calculated at the PBE level.

```
4
Lattice="-1.755 1.755 4.475 1.755 -1.755 4.475 1.755 1.755 -4.475" Properties=species:S:1:pos:R:3 pbc="T T T"
Tc 0.000 0.000 0.000
P 0.000 0.000 4.475
P 0.000 1.755 2.237
Ir 1.755 0.000 2.237
```

Calculated values
Total moment, μB/f.u.: 0.4
Fermi-level density of states, states/eV/cell: 3.37
E above lowest polymorph, meV/atom: 577
Energy of formation from the pure elements, kJ/mol of atoms: 12.4
Space-group type: I-4m2, No. 119

(13)
Below is crystalline TcPIr2 at its relaxed geometry, with properties calculated at the PBE level.

```
8
Lattice="-2.687 2.687 5.483 2.687 -2.687 5.483 2.687 2.687 -5.483" Properties=species:S:1:pos:R:3 pbc="T T T"
Tc 0.000 0.000 0.000
Tc 0.000 2.687 2.741
P 2.687 0.000 2.741
P 0.000 0.000 5.483
Ir 1.344 -1.216 4.112
Ir 1.471 1.344 1.371
Ir 1.344 3.903 -1.371
Ir 1.216 1.344 6.853
```

Calculated values
Total moment, μB/f.u.: 0.0
Fermi-level density of states, states/eV/cell: 5.00
Energy of formation from the pure elements, kJ/mol of atoms: 32.2
Space-group type: I-42d, No. 122

(14)
Below is crystalline TcPIr2 at its relaxed geometry, with properties calculated at the PBE level.

```
4
Lattice="4.666 -1.402 0.000 4.666 1.402 0.000 -0.033 0.000 4.394" Properties=species:S:1:pos:R:3 pbc="T T T"
Tc 0.000 0.000 0.000
P 4.649 0.000 2.197
Ir 2.573 0.000 1.081
Ir 6.726 0.000 3.313
```

Calculated values
Total moment, μB/f.u.: 0.0
Fermi-level density of states, states/eV/cell: 2.76
Energy of formation from the pure elements, kJ/mol of atoms: -5.8
Space-group type: C2/m, No. 12

(15)
Below is crystalline Tc2PIr at its relaxed geometry, with properties calculated at the PBE level.

```
4
Lattice="2.856 0.000 0.000 0.000 2.856 0.000 0.000 0.000 6.736" Properties=species:S:1:pos:R:3 pbc="T T T"
Tc 0.000 0.000 0.000
Tc 1.428 1.428 1.864
P 1.428 1.428 5.378
Ir 0.000 0.000 3.824
```

Calculated values
Total moment, μB/f.u.: 0.0
Fermi-level density of states, states/eV/cell: 1.83
Energy of formation from the pure elements, kJ/mol of atoms: -19.0
Space-group type: P4mm, No. 99

(16)
Below is crystalline Tc2PIr at its relaxed geometry, with properties calculated at the PBE level.

```
4
Lattice="-1.914 1.914 3.792 1.914 -1.914 3.792 1.914 1.914 -3.792" Properties=species:S:1:pos:R:3 pbc="T T T"
Tc 1.914 0.000 1.896
Tc 0.000 1.914 1.896
P 0.000 0.000 0.000
Ir 0.000 0.000 3.792
```

Calculated values
Total moment, μB/f.u.: 0.0
Fermi-level density of states, states/eV/cell: 4.11
Energy of formation from the pure elements, kJ/mol of atoms: 8.1
Space-group type: I4/mmm, No. 139

(17)
Below is crystalline TcP4Ir at its relaxed geometry, with properties calculated at the PBE level.

```
6
Lattice="0.000 3.456 3.456 3.456 0.000 3.456 3.456 3.456 0.000" Properties=species:S:1:pos:R:3 pbc="T T T"
Tc 0.000 0.000 0.000
P 4.320 2.592 2.592
P 2.592 4.320 2.592
P 2.592 2.592 4.320
P 4.320 4.320 4.320
Ir 1.728 1.728 1.728
```

Calculated values
Total moment, μB/f.u.: 0.0
Fermi-level density of states, states/eV/cell: 3.29
Energy of formation from the pure elements, kJ/mol of atoms: 78.8
Space-group type: F-43m, No. 216

(18)
Below is crystalline TcPIr2 at its relaxed geometry, with properties calculated at the PBE level.

```
4
Lattice="2.681 -3.828 0.000 2.681 3.828 0.000 0.000 0.000 2.767" Properties=species:S:1:pos:R:3 pbc="T T T"
Tc 0.000 0.000 0.000
P 2.681 0.000 0.000
Ir 1.341 1.914 1.384
Ir 1.341 -1.914 1.384
```

Calculated values
Total moment, μB/f.u.: 0.0
Fermi-level density of states, states/eV/cell: 3.59
Energy of formation from the pure elements, kJ/mol of atoms: 13.3
Space-group type: Cmmm, No. 65

(19)
Below is crystalline Tc2PIr at its relaxed geometry, with properties calculated at the PBE level.

```
4
Lattice="0.000 3.053 3.053 3.053 0.000 3.053 3.053 3.053 0.000" Properties=species:S:1:pos:R:3 pbc="T T T"
Tc 0.000 0.000 0.000
Tc 1.527 1.527 1.527
P 4.580 4.580 4.580
Ir 3.053 3.053 3.053
```

Calculated values
Total moment, μB/f.u.: 0.3
Fermi-level density of states, states/eV/cell: 4.92
Energy of formation from the pure elements, kJ/mol of atoms: 28.2
Space-group type: F-43m, No. 216

(20)
Below is crystalline TcP2Ir at its relaxed geometry, with properties calculated at the PBE level.

```
4
Lattice="-1.451 2.562 3.864 1.451 -2.562 3.864 1.451 2.562 -3.864" Properties=species:S:1:pos:R:3 pbc="T T T"
Tc 0.000 0.000 0.000
P 1.451 0.000 1.940
P 0.000 2.562 1.924
Ir 0.000 0.000 3.864
```

Calculated values
Total moment, μB/f.u.: 0.0
Fermi-level density of states, states/eV/cell: 3.09
E above lowest polymorph, meV/atom: 664
Energy of formation from the pure elements, kJ/mol of atoms: 20.8
Space-group type: Immm, No. 71